CsCoHgO2: optimized geometry, PBE with a Hubbard U.

Cell lengths 4.5089, 4.5089, 5.0504 Å; angles 90.00, 90.00, 90.00 degrees
Atoms (fractional coordinates):
Cs  0.0000  0.0000  0.0000
Co  0.5000  0.5000  0.0000
Hg  0.5000  0.5000  0.5000
O  0.0000  0.5000  0.5000
O  0.5000  0.0000  0.5000

E: -14.3 eV/cell
Space-group type: P4/mmm, No. 123
Crystal system: tetragonal